A relaxed structure of TlSN2. Source: Alexandria, functional PBE.

a = 2.729 Å, b = 3.805 Å, c = 14.572 Å
α = 90.00°, β = 90.00°, γ = 90.00°
Space group Imm2 (No. 44)
Symmetry-distinct sites (fractional):
Tl: 0.000 0.000 0.000 [2 per cell]
S: 0.000 0.500 0.748 [2 per cell]
N: 0.000 0.000 0.315 [2 per cell]
N: 0.000 0.500 0.075 [2 per cell]

Computed properties:
ΔE to the lowest computed polymorph, eV per atom: 0.485
Energy relative to the elements, uncorrected, eV/atom: 1.42
Total magnetization, μB/cell: 0.00

A relaxed structure of Tl3S2N. Source: Alexandria, functional PBE.

a = 12.831 Å, b = 5.072 Å, c = 9.160 Å
α = 90.00°, β = 97.23°, γ = 90.00°
Space group C2/m (No. 12)
Symmetry-distinct sites (fractional):
Tl: 0.016 0.000 0.327 [4 per cell]
Tl: 0.151 0.500 0.042 [4 per cell]
Tl: 0.176 0.500 0.563 [4 per cell]
S: 0.013 0.500 0.787 [4 per cell]
S: 0.184 0.000 0.130 [4 per cell]
N: 0.137 0.000 0.539 [4 per cell]

Computed properties:
Energy relative to the elements, uncorrected, eV/atom: 0.34
Total magnetization, μB/cell: 0.00